No. 1
CaMg2Tl | PBEsol | optimized geometry

- density (Mg/m³) = 4.73
- E above lowest polymorph (eV per atom) = 0.041
- VASP energy (eV per atom) = -2.228
- formation enthalpy at 0 K (meV/atom) = -179
- total magnetic moment (μB/f.u.) = 0.000

```
data_CaMg2Tl
_chemical_formula_sum 'Ca1 Mg2 Tl1'
_symmetry_space_group_name_H-M 'P 4 m m'
_symmetry_Int_Tables_number 99
_symmetry_space_group_name_Hall 'P 4 -2'
_cell_length_a 3.7056
_cell_length_b 3.7056
_cell_length_c 7.4931
_cell_angle_alpha 90.00
_cell_angle_beta 90.00
_cell_angle_gamma 90.00
loop_
_atom_site_label
_atom_site_fract_x
_atom_site_fract_y
_atom_site_fract_z
Ca1 0.0000 0.0000 0.0000
Mg1 0.0000 0.0000 0.5160
Mg2 0.5000 0.5000 0.2956
Tl1 0.5000 0.5000 0.7314
```

=====

No. 2
SmAl3B4O12 | PBEsol | optimized geometry

- formation energy from raw total energies (kJ/mol of atoms) = -276.8
- density (Mg/m³) = 4.25
- VASP energy (eV per atom) = -8.290
- total magnetic moment (μB/f.u.) = 0.001

```
data_SmAl3B4O12
_chemical_formula_sum 'Sm3 Al9 B12 O36'
_symmetry_space_group_name_H-M 'R 3 2'
_symmetry_Int_Tables_number 155
_symmetry_space_group_name_Hall 'R 3 2"'
_cell_length_a 9.3368
_cell_length_b 9.3368
_cell_length_c 7.2490
_cell_angle_alpha 90.00
_cell_angle_beta 90.00
_cell_angle_gamma 120.00
loop_
_atom_site_label
_atom_site_fract_x
_atom_site_fract_y
_atom_site_fract_z
Sm1 0.0000 0.0000 0.0000
Al1 0.0000 0.5560 0.0000
B1 0.0000 0.0000 0.5000
B2 0.0000 0.4423 0.5000
O1 0.0000 0.5911 0.5000
O2 0.0000 0.8511 0.5000
O3 0.0335 0.2184 0.1903
```

=====

No. 3
KMg2In | PBEsol | optimized geometry

- density (Mg/m³) = 2.81
- VASP energy (eV per atom) = -1.822
- formation enthalpy at 0 K (meV/atom) = 66
- total magnetic moment (μB/f.u.) = 0.000

```
data_KMg2In
_chemical_formula_sum 'K1 Mg2 In1'
_symmetry_space_group_name_H-M 'P m m m'
_symmetry_Int_Tables_number 47
_symmetry_space_group_name_Hall '-P 2 2'
_cell_length_a 3.2494
_cell_length_b 4.4222
_cell_length_c 8.3391
_cell_angle_alpha 90.00
_cell_angle_beta 90.00
_cell_angle_gamma 90.00
loop_
_atom_site_label
_atom_site_fract_x
_atom_site_fract_y
_atom_site_fract_z
K1 0.0000 0.0000 0.0000
Mg1 0.5000 0.5000 0.3161
In1 0.0000 0.0000 0.5000
```

=====

No. 4
K3RbAg | PBEsol | optimized geometry

- density (Mg/m³) = 1.74
- VASP energy (eV per atom) = -1.446
- formation enthalpy at 0 K (meV/atom) = 101
- total magnetic moment (μB/f.u.) = 0.000

```
data_K3RbAg
_chemical_formula_sum 'K3 Rb1 Ag1'
_symmetry_space_group_name_H-M 'P m -3 m'
_symmetry_Int_Tables_number 221
_symmetry_space_group_name_Hall '-P 4 2 3'
_cell_length_a 6.6711
_cell_length_b 6.6711
_cell_length_c 6.6711
_cell_angle_alpha 90.00
_cell_angle_beta 90.00
_cell_angle_gamma 90.00
loop_
_atom_site_label
_atom_site_fract_x
_atom_site_fract_y
_atom_site_fract_z
K1 0.0000 0.0000 0.5000
Rb1 0.5000 0.5000 0.5000
Ag1 0.0000 0.0000 0.0000
```

=====

No. 5
YTaNi2C | PBEsol | optimized geometry

- density (Mg/m³) = 7.99
- VASP energy (eV per atom) = -6.356
- formation enthalpy at 0 K (meV/atom) = 1910
- total magnetic moment (μB/f.u.) = 0.002

```
data_YTaNi2C
_chemical_formula_sum 'Y1 Ta1 Ni2 C1'
_symmetry_space_group_name_H-M 'P 4/m m m'
_symmetry_Int_Tables_number 123
_symmetry_space_group_name_Hall '-P 4 2'
_cell_length_a 4.4597
_cell_length_b 4.4597
_cell_length_c 4.1702
_cell_angle_alpha 90.00
_cell_angle_beta 90.00
_cell_angle_gamma 90.00
loop_
_atom_site_label
_atom_site_fract_x
_atom_site_fract_y
_atom_site_fract_z
Y1 0.0000 0.0000 0.0000
Ta1 0.5000 0.5000 0.5000
Ni1 0.0000 0.5000 0.0000
C1 0.0000 0.0000 0.5000
```

=====

No. 6
YCd2In | PBEsol | optimized geometry

- density (Mg/m³) = 7.49
- VASP energy (eV per atom) = -3.265
- formation enthalpy at 0 K (meV/atom) = -215
- total magnetic moment (μB/f.u.) = 0.013

```
data_YCd2In
_chemical_formula_sum 'Y1 Cd2 In1'
_symmetry_space_group_name_H-M 'P m m m'
_symmetry_Int_Tables_number 47
_symmetry_space_group_name_Hall '-P 2 2'
_cell_length_a 3.7729
_cell_length_b 3.7839
_cell_length_c 6.6549
_cell_angle_alpha 90.00
_cell_angle_beta 90.00
_cell_angle_gamma 90.00
loop_
_atom_site_label
_atom_site_fract_x
_atom_site_fract_y
_atom_site_fract_z
Y1 0.0000 0.0000 0.0000
Cd1 0.5000 0.5000 0.2615
In1 0.0000 0.0000 0.5000
```

=====

No. 7
SrTaO2F | PBEsol | optimized geometry

- formation energy from raw total energies (kJ/mol of atoms) = -33.4
- density (Mg/m³) = 6.10
- VASP energy (eV per atom) = -5.709
- total magnetic moment (μB/f.u.) = 1.980

```
data_SrTaO2F
_chemical_formula_sum 'Sr1 Ta1 O2 F1'
_symmetry_space_group_name_H-M 'P 4/m m m'
_symmetry_Int_Tables_number 123
_symmetry_space_group_name_Hall '-P 4 2'
_cell_length_a 4.5314
_cell_length_b 4.5314
_cell_length_c 4.2365
_cell_angle_alpha 90.00
_cell_angle_beta 90.00
_cell_angle_gamma 90.00
loop_
_atom_site_label
_atom_site_fract_x
_atom_site_fract_y
_atom_site_fract_z
Sr1 0.0000 0.0000 0.0000
Ta1 0.5000 0.5000 0.5000
O1 0.0000 0.5000 0.0000
F1 0.0000 0.0000 0.5000
```

=====

No. 8
ZnGaNO | PBEsol | optimized geometry

- formation energy from raw total energies (kJ/mol of atoms) = -94.2
- density (Mg/m³) = 5.87
- E above lowest polymorph (eV per atom) = 0.000
- VASP energy (eV per atom) = -5.651
- total magnetic moment (μB/f.u.) = 0.000

```
data_ZnGaNO
_chemical_formula_sum 'Zn2 Ga2 N2 O2'
_symmetry_space_group_name_H-M 'P m c 21'
_symmetry_Int_Tables_number 26
_symmetry_space_group_name_Hall 'P 2c -2'
_cell_length_a 3.2311
_cell_length_b 5.5339
_cell_length_c 5.2296
_cell_angle_alpha 90.00
_cell_angle_beta 90.00
_cell_angle_gamma 90.00
loop_
_atom_site_label
_atom_site_fract_x
_atom_site_fract_y
_atom_site_fract_z
Zn1 0.0000 0.1758 0.0000
Ga1 0.5000 0.3486 0.4835
N1 0.5000 0.3362 0.1232
O1 0.0000 0.1797 0.6021
```

=====

No. 9
LaCuAs2Br | PBEsol | optimized geometry

- formation energy from raw total energies (kJ/mol of atoms) = -45.7
- density (Mg/m³) = 6.41
- E above lowest polymorph (eV per atom) = 0.000
- VASP energy (eV per atom) = -4.826
- total magnetic moment (μB/f.u.) = 0.000

```
data_LaCuAs2Br
_chemical_formula_sum 'La1 Cu1 As2 Br1'
_symmetry_space_group_name_H-M 'P 4/m m m'
_symmetry_Int_Tables_number 123
_symmetry_space_group_name_Hall '-P 4 2'
_cell_length_a 4.5931
_cell_length_b 4.5931
_cell_length_c 5.3057
_cell_angle_alpha 90.00
_cell_angle_beta 90.00
_cell_angle_gamma 90.00
loop_
_atom_site_label
_atom_site_fract_x
_atom_site_fract_y
_atom_site_fract_z
La1 0.0000 0.0000 0.0000
Cu1 0.5000 0.5000 0.5000
As1 0.0000 0.5000 0.5000
Br1 0.5000 0.5000 0.0000
```

=====

No. 10
LiCaAg2 | PBEsol | optimized geometry

- density (Mg/m³) = 5.52
- E above lowest polymorph (eV per atom) = 0.042
- VASP energy (eV per atom) = -2.852
- formation enthalpy at 0 K (meV/atom) = -171
- total magnetic moment (μB/f.u.) = 0.000

```
data_LiCaAg2
_chemical_formula_sum 'Li4 Ca4 Ag8'
_symmetry_space_group_name_H-M 'F -4 3 m'
_symmetry_Int_Tables_number 216
_symmetry_space_group_name_Hall 'F -4 2 3'
_cell_length_a 6.8136
_cell_length_b 6.8136
_cell_length_c 6.8136
_cell_angle_alpha 90.00
_cell_angle_beta 90.00
_cell_angle_gamma 90.00
loop_
_atom_site_label
_atom_site_fract_x
_atom_site_fract_y
_atom_site_fract_z
Li1 0.0000 0.0000 0.0000
Ca1 0.2500 0.2500 0.7500
Ag1 0.0000 0.0000 0.5000
Ag2 0.2500 0.2500 0.2500
```

=====

No. 11
ScRuPb2 | PBEsol | optimized geometry

- density (Mg/m³) = 11.50
- E above lowest polymorph (eV per atom) = 0.000
- VASP energy (eV per atom) = -6.133
- formation enthalpy at 0 K (meV/atom) = 61
- total magnetic moment (μB/f.u.) = 0.015

```
data_ScRuPb2
_chemical_formula_sum 'Sc1 Ru1 Pb2'
_symmetry_space_group_name_H-M 'P 4/m m m'
_symmetry_Int_Tables_number 123
_symmetry_space_group_name_Hall '-P 4 2'
_cell_length_a 3.3618
_cell_length_b 3.3618
_cell_length_c 7.1608
_cell_angle_alpha 90.00
_cell_angle_beta 90.00
_cell_angle_gamma 90.00
loop_
_atom_site_label
_atom_site_fract_x
_atom_site_fract_y
_atom_site_fract_z
Sc1 0.0000 0.0000 0.0000
Ru1 0.0000 0.0000 0.5000
Pb1 0.5000 0.5000 0.2762
```

=====

No. 12
Gd2MgPtO6 | PBEsol | optimized geometry

- formation energy from raw total energies (kJ/mol of atoms) = -243.7
- density (Mg/m³) = 8.98
- VASP energy (eV per atom) = -9.433
- total magnetic moment (μB/f.u.) = 13.976

```
data_Gd2MgPtO6
_chemical_formula_sum 'Gd4 Mg2 Pt2 O12'
_symmetry_space_group_name_H-M 'P 1 21/c 1'
_symmetry_Int_Tables_number 14
_symmetry_space_group_name_Hall '-P 2ybc'
_cell_length_a 5.3377
_cell_length_b 5.6852
_cell_length_c 9.3116
_cell_angle_alpha 90.00
_cell_angle_beta 124.47
_cell_angle_gamma 90.00
loop_
_atom_site_label
_atom_site_fract_x
_atom_site_fract_y
_atom_site_fract_z
Gd1 0.2294 0.0707 0.2505
Mg1 0.5000 0.0000 0.0000
Pt1 0.0000 0.0000 0.5000
O1 0.1291 0.1994 0.9424
O2 0.2511 0.6954 0.9441
O3 0.3613 0.0406 0.7475
```

=====

No. 13
ZrB4Ir3 | PBEsol | optimized geometry

- density (Mg/m³) = 13.62
- VASP energy (eV per atom) = -8.910
- formation enthalpy at 0 K (meV/atom) = -582
- total magnetic moment (μB/f.u.) = 0.000

```
data_ZrB4Ir3
_chemical_formula_sum 'Zr2 B8 Ir6'
_symmetry_space_group_name_H-M 'P 63/m'
_symmetry_Int_Tables_number 176
_symmetry_space_group_name_Hall '-P 6c'
_cell_length_a 7.5292
_cell_length_b 7.5292
_cell_length_c 3.5322
_cell_angle_alpha 90.00
_cell_angle_beta 90.00
_cell_angle_gamma 120.00
loop_
_atom_site_label
_atom_site_fract_x
_atom_site_fract_y
_atom_site_fract_z
Zr1 0.3333 0.6667 0.2500
B1 0.0000 0.0000 0.0000
B2 0.0501 0.4478 0.7500
Ir1 0.0719 0.7443 0.7500
```